K2PrScTe4 | PBE | relaxed

Lattice parameters (Å, degrees): 7.782 4.482 8.631 90.00 107.40 90.00
Positions (direct):
K  0.000  0.000  0.000
K  0.500  0.500  0.000
Pr  0.000  0.500  0.500
Sc  0.500  0.000  0.500
Te  0.256  0.000  0.711
Te  0.284  0.500  0.298
Te  0.716  0.500  0.702
Te  0.744  0.000  0.289

Output
SG = P2/m
uncorrected energy = -4.55 eV/atom
uncorrected formation energy = -10.5 eV per formula unit

TaCo2 | PBE | relaxed

Lattice parameters (Å, degrees): 4.072 4.072 2.770 90.00 90.00 120.00
Positions (direct):
Ta  0.000  0.000  0.000
Co  0.333  0.667  0.500
Co  0.667  0.333  0.500

Output
SG = P6/mmm
uncorrected energy = -8.68 eV/atom
formation energy from the elements = 0.0 eV/f.u.